<A>
# HfWSCl2 GGA-PBE relaxed
data_HfWSCl2
_chemical_formula_sum 'Hf1 W1 S1 Cl2'
_symmetry_space_group_name_H-M 'P 4/m m m'
_symmetry_Int_Tables_number 123
_symmetry_space_group_name_Hall '-P 4 2'
_cell_length_a 4.9413
_cell_length_b 4.9413
_cell_length_c 5.0117
_cell_angle_alpha 90.00
_cell_angle_beta 90.00
_cell_angle_gamma 90.00
loop_
_atom_site_label
_atom_site_fract_x
_atom_site_fract_y
_atom_site_fract_z
Hf1 0.0000 0.0000 0.0000
W1 0.5000 0.5000 0.5000
S1 0.0000 0.0000 0.5000
Cl1 0.0000 0.5000 0.0000
# Total magnetic moment: 1.06 μB/atom

<B>
# HfWSCl2 GGA-PBE relaxed
data_HfWSCl2
_chemical_formula_sum 'Hf1 W1 S1 Cl2'
_symmetry_space_group_name_H-M 'P 4/m m m'
_symmetry_Int_Tables_number 123
_symmetry_space_group_name_Hall '-P 4 2'
_cell_length_a 4.8004
_cell_length_b 4.8004
_cell_length_c 4.6452
_cell_angle_alpha 90.00
_cell_angle_beta 90.00
_cell_angle_gamma 90.00
loop_
_atom_site_label
_atom_site_fract_x
_atom_site_fract_y
_atom_site_fract_z
Hf1 0.0000 0.0000 0.0000
W1 0.5000 0.5000 0.5000
S1 0.5000 0.5000 0.0000
Cl1 0.0000 0.5000 0.5000
# Total magnetic moment: 0.32 μB/atom

The structure with the least stability is <B>.

<A>
# YHfS2Cl GGA-PBE relaxed
data_YHfS2Cl
_chemical_formula_sum 'Y1 Hf1 S2 Cl1'
_symmetry_space_group_name_H-M 'P 4/m m m'
_symmetry_Int_Tables_number 123
_symmetry_space_group_name_Hall '-P 4 2'
_cell_length_a 4.9337
_cell_length_b 4.9337
_cell_length_c 4.7845
_cell_angle_alpha 90.00
_cell_angle_beta 90.00
_cell_angle_gamma 90.00
loop_
_atom_site_label
_atom_site_fract_x
_atom_site_fract_y
_atom_site_fract_z
Y1 0.0000 0.0000 0.0000
Hf1 0.5000 0.5000 0.5000
S1 0.0000 0.5000 0.5000
Cl1 0.5000 0.5000 0.0000
# Total magnetic moment: 0.11 μB/atom

<B>
# YHfS2Cl GGA-PBE relaxed
data_YHfS2Cl
_chemical_formula_sum 'Y1 Hf1 S2 Cl1'
_symmetry_space_group_name_H-M 'P 4/m m m'
_symmetry_Int_Tables_number 123
_symmetry_space_group_name_Hall '-P 4 2'
_cell_length_a 5.2252
_cell_length_b 5.2252
_cell_length_c 4.9904
_cell_angle_alpha 90.00
_cell_angle_beta 90.00
_cell_angle_gamma 90.00
loop_
_atom_site_label
_atom_site_fract_x
_atom_site_fract_y
_atom_site_fract_z
Y1 0.0000 0.0000 0.0000
Hf1 0.5000 0.5000 0.5000
S1 0.0000 0.5000 0.0000
Cl1 0.0000 0.0000 0.5000
# Total magnetic moment: 0.37 μB/atom

The structure with the least stability is <B>.

<A>
# HfZnS2Cl GGA-PBE relaxed
data_HfZnS2Cl
_chemical_formula_sum 'Hf1 Zn1 S2 Cl1'
_symmetry_space_group_name_H-M 'P 4/m m m'
_symmetry_Int_Tables_number 123
_symmetry_space_group_name_Hall '-P 4 2'
_cell_length_a 4.9561
_cell_length_b 4.9561
_cell_length_c 4.9880
_cell_angle_alpha 90.00
_cell_angle_beta 90.00
_cell_angle_gamma 90.00
loop_
_atom_site_label
_atom_site_fract_x
_atom_site_fract_y
_atom_site_fract_z
Hf1 0.0000 0.0000 0.0000
Zn1 0.5000 0.5000 0.5000
S1 0.0000 0.5000 0.0000
Cl1 0.0000 0.0000 0.5000
# Total magnetic moment: 0.00 μB/atom

<B>
# HfZnS2Cl GGA-PBE relaxed
data_HfZnS2Cl
_chemical_formula_sum 'Hf1 Zn1 S2 Cl1'
_symmetry_space_group_name_H-M 'P 4/m m m'
_symmetry_Int_Tables_number 123
_symmetry_space_group_name_Hall '-P 4 2'
_cell_length_a 4.7119
_cell_length_b 4.7119
_cell_length_c 4.4758
_cell_angle_alpha 90.00
_cell_angle_beta 90.00
_cell_angle_gamma 90.00
loop_
_atom_site_label
_atom_site_fract_x
_atom_site_fract_y
_atom_site_fract_z
Hf1 0.0000 0.0000 0.0000
Zn1 0.5000 0.5000 0.5000
S1 0.0000 0.5000 0.5000
Cl1 0.5000 0.5000 0.0000
# Total magnetic moment: 0.14 μB/atom

The structure with the least stability is <B>.

<A>
# HfZrS2Cl GGA-PBE relaxed
data_HfZrS2Cl
_chemical_formula_sum 'Hf1 Zr1 S2 Cl1'
_symmetry_space_group_name_H-M 'P 4/m m m'
_symmetry_Int_Tables_number 123
_symmetry_space_group_name_Hall '-P 4 2'
_cell_length_a 4.9258
_cell_length_b 4.9258
_cell_length_c 4.7985
_cell_angle_alpha 90.00
_cell_angle_beta 90.00
_cell_angle_gamma 90.00
loop_
_atom_site_label
_atom_site_fract_x
_atom_site_fract_y
_atom_site_fract_z
Hf1 0.0000 0.0000 0.0000
Zr1 0.5000 0.5000 0.5000
S1 0.0000 0.5000 0.0000
Cl1 0.0000 0.0000 0.5000
# Total magnetic moment: 0.45 μB/atom

<B>
# HfZrS2Cl GGA-PBE relaxed
data_HfZrS2Cl
_chemical_formula_sum 'Hf1 Zr1 S2 Cl1'
_symmetry_space_group_name_H-M 'P 4/m m m'
_symmetry_Int_Tables_number 123
_symmetry_space_group_name_Hall '-P 4 2'
_cell_length_a 4.9748
_cell_length_b 4.9748
_cell_length_c 4.8447
_cell_angle_alpha 90.00
_cell_angle_beta 90.00
_cell_angle_gamma 90.00
loop_
_atom_site_label
_atom_site_fract_x
_atom_site_fract_y
_atom_site_fract_z
Hf1 0.0000 0.0000 0.0000
Zr1 0.5000 0.5000 0.5000
S1 0.0000 0.5000 0.5000
Cl1 0.5000 0.5000 0.0000
# Total magnetic moment: 0.37 μB/atom

The structure with the least stability is <B>.

<A>
# HfSbCl2 GGA-PBE relaxed
data_HfSbCl2
_chemical_formula_sum 'Hf4 Sb4 Cl8'
_symmetry_space_group_name_H-M 'I -4 2 d'
_symmetry_Int_Tables_number 122
_symmetry_space_group_name_Hall 'I -4 2bw'
_cell_length_a 4.4211
_cell_length_b 4.4211
_cell_length_c 18.7028
_cell_angle_alpha 90.00
_cell_angle_beta 90.00
_cell_angle_gamma 90.00
loop_
_atom_site_label
_atom_site_fract_x
_atom_site_fract_y
_atom_site_fract_z
Hf1 0.0000 0.0000 0.0000
Sb1 0.0000 0.0000 0.5000
Cl1 0.2185 0.2500 0.1250
# Total magnetic moment: 0.00 μB/atom

<B>
# HfSbCl2 GGA-PBE relaxed
data_HfSbCl2
_chemical_formula_sum 'Hf3 Sb3 Cl6'
_symmetry_space_group_name_H-M 'R -3 m'
_symmetry_Int_Tables_number 166
_symmetry_space_group_name_Hall '-R 3 2"'
_cell_length_a 3.2287
_cell_length_b 3.2287
_cell_length_c 37.3747
_cell_angle_alpha 90.00
_cell_angle_beta 90.00
_cell_angle_gamma 120.00
loop_
_atom_site_label
_atom_site_fract_x
_atom_site_fract_y
_atom_site_fract_z
Hf1 0.0000 0.0000 0.0000
Sb1 0.0000 0.0000 0.5000
Cl1 0.0000 0.0000 0.3821
# Total magnetic moment: 0.00 μB/atom

<C>
# HfSbCl2 GGA-PBE relaxed
data_HfSbCl2
_chemical_formula_sum 'Hf4 Sb4 Cl8'
_symmetry_space_group_name_H-M 'F m -3 m'
_symmetry_Int_Tables_number 225
_symmetry_space_group_name_Hall '-F 4 2 3'
_cell_length_a 6.9093
_cell_length_b 6.9093
_cell_length_c 6.9093
_cell_angle_alpha 90.00
_cell_angle_beta 90.00
_cell_angle_gamma 90.00
loop_
_atom_site_label
_atom_site_fract_x
_atom_site_fract_y
_atom_site_fract_z
Hf1 0.0000 0.0000 0.0000
Sb1 0.0000 0.0000 0.5000
Cl1 0.2500 0.2500 0.2500
# Total magnetic moment: 0.00 μB/atom

The structure with the least stability is <C>.

<A>
# HfSb2Cl GGA-PBE relaxed
data_HfSb2Cl
_chemical_formula_sum 'Hf4 Sb8 Cl4'
_symmetry_space_group_name_H-M 'I -4 2 d'
_symmetry_Int_Tables_number 122
_symmetry_space_group_name_Hall 'I -4 2bw'
_cell_length_a 4.2766
_cell_length_b 4.2766
_cell_length_c 22.0651
_cell_angle_alpha 90.00
_cell_angle_beta 90.00
_cell_angle_gamma 90.00
loop_
_atom_site_label
_atom_site_fract_x
_atom_site_fract_y
_atom_site_fract_z
Hf1 0.0000 0.0000 0.0000
Sb1 0.2238 0.2500 0.1250
Cl1 0.0000 0.0000 0.5000
# Total magnetic moment: 0.00 μB/atom

<B>
# HfSb2Cl GGA-PBE relaxed
data_HfSb2Cl
_chemical_formula_sum 'Hf4 Sb8 Cl4'
_symmetry_space_group_name_H-M 'F m -3 m'
_symmetry_Int_Tables_number 225
_symmetry_space_group_name_Hall '-F 4 2 3'
_cell_length_a 7.2650
_cell_length_b 7.2650
_cell_length_c 7.2650
_cell_angle_alpha 90.00
_cell_angle_beta 90.00
_cell_angle_gamma 90.00
loop_
_atom_site_label
_atom_site_fract_x
_atom_site_fract_y
_atom_site_fract_z
Hf1 0.0000 0.0000 0.0000
Sb1 0.2500 0.2500 0.2500
Cl1 0.0000 0.0000 0.5000
# Total magnetic moment: 0.00 μB/atom

The structure with the least stability is <B>.

<A>
# HfSbTe2Cl GGA-PBE relaxed
data_HfSbTe2Cl
_chemical_formula_sum 'Hf1 Sb1 Te2 Cl1'
_symmetry_space_group_name_H-M 'P 4/m m m'
_symmetry_Int_Tables_number 123
_symmetry_space_group_name_Hall '-P 4 2'
_cell_length_a 5.3474
_cell_length_b 5.3474
_cell_length_c 5.0588
_cell_angle_alpha 90.00
_cell_angle_beta 90.00
_cell_angle_gamma 90.00
loop_
_atom_site_label
_atom_site_fract_x
_atom_site_fract_y
_atom_site_fract_z
Hf1 0.0000 0.0000 0.0000
Sb1 0.5000 0.5000 0.0000
Te1 0.0000 0.5000 0.5000
Cl1 0.5000 0.5000 0.5000
# Total magnetic moment: 0.00 μB/atom

<B>
# HfSbTe2Cl GGA-PBE relaxed
data_HfSbTe2Cl
_chemical_formula_sum 'Hf1 Sb1 Te2 Cl1'
_symmetry_space_group_name_H-M 'P 4/m m m'
_symmetry_Int_Tables_number 123
_symmetry_space_group_name_Hall '-P 4 2'
_cell_length_a 5.4488
_cell_length_b 5.4488
_cell_length_c 5.6467
_cell_angle_alpha 90.00
_cell_angle_beta 90.00
_cell_angle_gamma 90.00
loop_
_atom_site_label
_atom_site_fract_x
_atom_site_fract_y
_atom_site_fract_z
Hf1 0.0000 0.0000 0.0000
Sb1 0.0000 0.0000 0.5000
Te1 0.0000 0.5000 0.0000
Cl1 0.5000 0.5000 0.5000
# Total magnetic moment: 0.00 μB/atom

The structure with the least stability is <A>.

<A>
# HfSc2Cl GGA-PBE relaxed
data_HfSc2Cl
_chemical_formula_sum 'Hf4 Sc8 Cl4'
_symmetry_space_group_name_H-M 'F m -3 m'
_symmetry_Int_Tables_number 225
_symmetry_space_group_name_Hall '-F 4 2 3'
_cell_length_a 7.1333
_cell_length_b 7.1333
_cell_length_c 7.1333
_cell_angle_alpha 90.00
_cell_angle_beta 90.00
_cell_angle_gamma 90.00
loop_
_atom_site_label
_atom_site_fract_x
_atom_site_fract_y
_atom_site_fract_z
Hf1 0.0000 0.0000 0.0000
Sc1 0.2500 0.2500 0.2500
Cl1 0.0000 0.0000 0.5000
# Total magnetic moment: 0.47 μB/atom

<B>
# HfSc2Cl GGA-PBE relaxed
data_HfSc2Cl
_chemical_formula_sum 'Hf3 Sc6 Cl3'
_symmetry_space_group_name_H-M 'R -3 m'
_symmetry_Int_Tables_number 166
_symmetry_space_group_name_Hall '-R 3 2"'
_cell_length_a 3.3296
_cell_length_b 3.3296
_cell_length_c 26.8394
_cell_angle_alpha 90.00
_cell_angle_beta 90.00
_cell_angle_gamma 120.00
loop_
_atom_site_label
_atom_site_fract_x
_atom_site_fract_y
_atom_site_fract_z
Hf1 0.0000 0.0000 0.0000
Sc1 0.0000 0.0000 0.2425
Cl1 0.0000 0.0000 0.5000
# Total magnetic moment: 0.00 μB/atom

<C>
# HfSc2Cl GGA-PBE relaxed
data_HfSc2Cl
_chemical_formula_sum 'Hf4 Sc8 Cl4'
_symmetry_space_group_name_H-M 'I -4 2 d'
_symmetry_Int_Tables_number 122
_symmetry_space_group_name_Hall 'I -4 2bw'
_cell_length_a 7.9677
_cell_length_b 7.9677
_cell_length_c 5.5197
_cell_angle_alpha 90.00
_cell_angle_beta 90.00
_cell_angle_gamma 90.00
loop_
_atom_site_label
_atom_site_fract_x
_atom_site_fract_y
_atom_site_fract_z
Hf1 0.0000 0.0000 0.0000
Sc1 0.1705 0.7500 0.6250
Cl1 0.0000 0.0000 0.5000
# Total magnetic moment: 0.00 μB/atom

The structure with the least stability is <A>.